This record from the Alexandria database describes a relaxed SrCuIr2 crystal. The functional is PBE.

Summary:
The relative energy among the computed polymorphs comes out at 29.15 kJ/mol of atoms. The calculation puts the density of states at the Fermi level at 6.09 states/eV/f.u. As for the formation energy: 0.493 eV/atom.

Geometry as POSCAR:
```
SrCuIr2
1.0
5.321 -0.007 0.000
2.327 4.785 0.000
-3.824 -2.389 2.825
Ir Cu Sr
2 1 1
Cartesian
0.000 0.000 0.000
3.824 2.389 0.000
2.660 -0.004 1.413
1.164 2.392 1.413
```

This record from the Alexandria database describes a relaxed Pm2PIr crystal. The functional is PBE.

Summary:
The relative energy among the computed polymorphs comes out at 7.94 kJ/mol of atoms. The calculation puts the density of states at the Fermi level at 1.51 states/eV/f.u. As for the formation energy: -0.822 eV/atom.

Geometry as POSCAR:
```
Pm2PIr
1.0
3.637 0.000 0.000
0.000 3.637 0.000
0.000 0.000 6.695
Ir P Pm
1 1 2
Cartesian
1.819 1.819 3.348
1.819 1.819 0.000
0.000 0.000 1.656
0.000 0.000 5.040
```

This record from the Alexandria database describes a relaxed Na2SnGeF6 crystal. The functional is PBE.

Summary:
The calculation puts the formation energy without anion corrections at -2.4469 eV/atom. The calculation puts the density of states at the Fermi level at 0.00 states/eV/f.u.

Geometry as POSCAR:
```
Na2SnGeF6
1.0
6.336 0.002 0.000
3.170 5.486 -0.001
3.170 1.830 5.161
F Sn Na Ge
6 1 2 1
Cartesian
4.879 3.188 4.008
5.946 1.554 1.412
6.660 5.159 4.008
4.709 5.049 1.412
7.476 2.631 4.008
8.358 4.374 1.413
9.506 5.488 2.787
6.338 3.659 2.052
3.170 1.831 4.766
3.169 1.829 0.012
```

This record from the Alexandria database describes a relaxed LaMgAl2P crystal. The functional is PBE.

Summary:
The calculation puts the density of states at the Fermi level at 6.10 states/eV/f.u. As for the formation energy: 0.898 eV/atom.

Geometry as POSCAR:
```
LaMgAl2P
1.0
5.930 0.000 0.000
0.000 5.357 0.000
0.000 0.000 5.930
Mg P La Al
1 1 1 2
Cartesian
2.965 2.679 2.965
0.000 2.679 0.000
0.000 0.000 0.000
0.000 0.000 2.965
2.965 0.000 0.000
```

This record from the Alexandria database describes a relaxed YCo2PC crystal. The functional is PBE.

Summary:
The calculation puts the density of states at the Fermi level at 3.17 states/eV/f.u. As for the formation energy: -0.656 eV/atom.

Geometry as POSCAR:
```
YCo2PC
1.0
-1.437 3.372 -0.189
-2.566 -2.866 3.999
4.469 2.152 4.410
C Co Y P
2 4 2 2
Cartesian
2.235 1.076 2.205
0.000 0.000 0.000
1.388 0.802 3.747
-2.665 1.017 2.753
-0.922 1.856 4.473
3.131 1.641 5.467
0.105 2.119 1.357
0.361 0.539 6.863
1.120 2.756 5.012
-0.654 -0.098 3.208
```

This record from the Alexandria database describes a relaxed OsSeF2 crystal. The functional is PBE.

Summary:
The relative energy among the computed polymorphs comes out at 104.36 kJ/mol of atoms. The calculation puts the formation energy without anion corrections at 0.4248 eV/atom. The calculation puts the density of states at the Fermi level at 3.08 states/eV/f.u.

Geometry as POSCAR:
```
OsSeF2
1.0
0.258 2.616 3.344
-2.585 3.367 0.271
-3.115 0.063 2.896
F Se Os
2 1 1
Cartesian
-1.360 1.511 1.628
-4.081 4.534 4.883
0.000 0.000 0.000
-2.721 3.023 3.256
```

This record from the Alexandria database describes a relaxed NaMnPt2S crystal. The functional is PBE.

Summary:
The calculation puts the formation energy without anion corrections at 0.2888 eV/atom. The calculation puts the density of states at the Fermi level at 2.83 states/eV/f.u.

Geometry as POSCAR:
```
NaMnPt2S
1.0
-3.741 0.297 -2.617
1.002 -4.222 -1.912
-2.450 -2.062 3.268
Pt Na Mn S
2 1 1 1
Cartesian
-1.225 -1.031 1.634
-1.871 0.149 -1.309
0.501 -2.111 -0.956
-2.595 -2.993 -0.630
0.000 0.000 0.000
```

This record from the Alexandria database describes a relaxed LaAlIn2Pd4 crystal. The functional is PBE.

Summary:
The calculation puts the density of states at the Fermi level at 3.69 states/eV/f.u. As for the formation energy: -0.699 eV/atom.

Geometry as POSCAR:
```
LaAlIn2Pd4
1.0
-0.676 2.845 -3.474
2.653 -0.237 -3.678
-4.921 -4.917 -6.036
Pd La In Al
4 1 2 1
Cartesian
0.152 0.530 -5.531
-2.635 -2.547 -4.540
-0.310 0.238 -8.648
-3.097 -2.839 -7.657
0.000 0.000 0.000
-0.866 -0.712 -3.382
-2.079 -1.597 -9.806
-1.472 -1.154 -6.594
```

This record from the Alexandria database describes a relaxed Ho3AlC3 crystal. The functional is PBE.

Summary:
The calculation puts the density of states at the Fermi level at 2.19 states/eV/f.u. As for the formation energy: -0.253 eV/atom.

Geometry as POSCAR:
```
Ho3AlC3
1.0
-4.446 -0.322 -2.442
2.996 -3.574 -4.985
-1.874 -5.136 4.090
Ho Al C
6 2 6
Cartesian
-0.216 -2.226 -1.959
-4.684 -5.209 1.282
0.304 -6.264 -2.374
-3.628 -2.769 -0.964
-3.108 -6.806 -1.378
1.361 -3.823 -4.619
-1.463 -4.729 0.642
-1.861 -4.303 -3.979
-1.921 -6.280 -3.609
-0.900 -3.996 -5.769
-1.402 -2.752 0.271
-2.423 -5.036 2.431
-2.405 -2.521 -3.222
-0.918 -6.512 -0.115
```

This record from the Alexandria database describes a relaxed InCuSi crystal. The functional is PBE.

Summary:
The calculation puts the formation energy without anion corrections at 0.1053 eV/atom. The calculation puts the density of states at the Fermi level at 0.90 states/eV/f.u.

Geometry as POSCAR:
```
InCuSi
1.0
4.103 0.000 0.001
0.002 6.011 0.034
0.000 -0.794 4.616
In Si Cu
2 2 2
Cartesian
0.795 3.469 1.867
2.846 2.792 3.996
0.800 1.302 0.096
2.854 5.753 1.151
2.852 0.009 3.588
0.802 0.242 2.241
```

This record from the Alexandria database describes a relaxed SiMoAu2 crystal. The functional is PBE.

Summary:
The calculation puts the formation energy without anion corrections at 0.2363 eV/atom. The calculation puts the density of states at the Fermi level at 2.86 states/eV/f.u.

Geometry as POSCAR:
```
SiMoAu2
1.0
-2.964 -3.279 0.115
1.859 -1.629 1.486
-0.997 1.081 5.142
Au Si Mo
2 1 1
Cartesian
0.621 -0.339 6.379
0.672 -0.483 3.562
-0.836 -2.050 5.028
-1.267 -1.776 1.714
```

This record from the Alexandria database describes a relaxed HgMo2Pb2 crystal. The functional is PBE.

Summary:
The relative energy among the computed polymorphs comes out at 0.00 kJ/mol of atoms. The calculation puts the density of states at the Fermi level at 3.70 states/eV/f.u. As for the formation energy: 0.492 eV/atom.

Geometry as POSCAR:
```
HgMo2Pb2
1.0
3.628 0.000 0.000
0.000 3.628 0.000
1.814 1.814 9.551
Hg Mo Pb
1 2 2
Cartesian
0.000 0.000 0.000
1.814 3.628 4.776
3.628 1.814 4.776
3.628 3.628 7.242
1.814 1.814 2.310
```